Here is a relaxed ScIrOs2 crystal from Alexandria. Energies are from PBE.

Cell lengths 4.893, 4.893, 4.776 Å; angles 80.28, 80.28, 33.41 degrees
Fractional coordinates of all 4 atoms:
Ir1 0.250 0.250 0.250
Os1 0.988 0.988 0.019
Os2 0.512 0.512 0.481
Sc1 0.750 0.750 0.750

For the excess energy over the best structure of this formula in the dataset, the calculation gives 0.041 eV/atom. Its space group is C2/m, No. 12.

Here is a relaxed Sc3Cu3Sn4 crystal from Alexandria. Energies are from PBE.

Cell lengths 8.097, 8.097, 8.097 Å; angles 109.47, 109.47, 109.47 degrees
Fractional coordinates of all 20 atoms:
Sc1 0.625 0.750 0.875
Sc2 0.875 0.250 0.625
Sc3 0.125 0.375 0.250
Sc4 0.375 0.125 0.750
Sc5 0.250 0.875 0.125
Sc6 0.750 0.625 0.375
Cu1 0.125 0.750 0.375
Cu2 0.375 0.250 0.125
Cu3 0.625 0.875 0.250
Cu4 0.875 0.625 0.750
Cu5 0.250 0.375 0.625
Cu6 0.750 0.125 0.875
Sn1 0.000 0.000 0.344
Sn2 0.500 0.344 0.500
Sn3 0.656 0.156 0.156
Sn4 0.000 0.000 0.844
Sn5 0.844 0.500 0.000
Sn6 0.500 0.844 0.500
Sn7 0.344 0.500 0.000
Sn8 0.156 0.656 0.656

Its total energy is -5.0973 eV/atom. Its space group is I-43d, No. 220.

Here is a relaxed Ti2ZnCdH crystal from Alexandria. Energies are from PBE.

Cell lengths 4.015, 4.331, 4.015 Å; angles 90.00, 90.00, 90.00 degrees
Fractional coordinates of all 5 atoms:
H1 0.000 0.000 0.000
Zn1 0.000 0.500 0.000
Ti1 0.000 0.000 0.500
Ti2 0.500 0.000 0.000
Cd1 0.500 0.500 0.500

For the excess energy over the best structure of this formula in the dataset, the calculation gives 0.000 eV/atom. Its space group is P4/mmm, No. 123.

Here is a relaxed ZrTiNb4 crystal from Alexandria. Energies are from PBE.

Cell lengths 5.505, 5.505, 5.505 Å; angles 60.00, 60.00, 60.00 degrees
Fractional coordinates of all 6 atoms:
Nb1 0.625 0.625 0.125
Nb2 0.625 0.125 0.625
Nb3 0.625 0.625 0.625
Nb4 0.125 0.625 0.625
Zr1 0.250 0.250 0.250
Ti1 0.000 0.000 0.000

For the excess energy over the best structure of this formula in the dataset, the calculation gives 0.092 eV/atom. Its space group is F-43m, No. 216.

Here is a relaxed LaBeCoW2 crystal from Alexandria. Energies are from PBE.

Cell lengths 4.660, 4.175, 4.660 Å; angles 90.00, 90.00, 90.00 degrees
Fractional coordinates of all 5 atoms:
Be1 0.000 0.500 0.000
Co1 0.000 0.000 0.000
W1 0.000 0.000 0.500
W2 0.500 0.000 0.000
La1 0.500 0.500 0.500

Its total energy is -7.5078 eV/atom. Its space group is P4/mmm, No. 123.

Here is a relaxed ReIr3 crystal from Alexandria. Energies are from PBE.

Cell lengths 2.700, 5.155, 5.155 Å; angles 117.02, 79.95, 79.95 degrees
Site moments in Bohr magnetons follow the coordinates.
Fractional coordinates of all 4 atoms:
Ir1 0.000 0.000 0.000  0.11
Ir2 0.000 0.500 0.500  0.11
Ir3 0.500 0.000 0.500  0.11
Re1 0.500 0.500 0.000  0.02

For the excess energy over the best structure of this formula in the dataset, the calculation gives 0.675 eV/atom. Its space group is R-3m, No. 166.

Here is a relaxed RbHf2Mn crystal from Alexandria. Energies are from PBE.

Cell lengths 7.399, 7.399, 7.399 Å; angles 60.00, 60.00, 90.00 degrees
Fractional coordinates of all 8 atoms:
Mn1 0.500 0.500 0.000
Mn2 0.250 0.750 0.500
Hf1 0.375 0.125 0.250
Hf2 0.375 0.625 0.250
Hf3 0.375 0.625 0.750
Hf4 0.875 0.625 0.750
Rb1 0.000 0.000 0.000
Rb2 0.750 0.250 0.500

For the excess energy over the best structure of this formula in the dataset, the calculation gives 0.000 eV/atom. Its space group is Fd-3m, No. 227.

Here is a relaxed BaPd3PbAu crystal from Alexandria. Energies are from PBE.

Cell lengths 7.638, 6.161, 6.959 Å; angles 116.27, 90.00, 90.00 degrees
Fractional coordinates of all 12 atoms:
Ba1 0.750 0.321 0.641
Ba2 0.250 0.679 0.359
Pd1 0.250 0.150 0.299
Pd2 0.000 0.268 0.000
Pd3 0.500 0.732 0.000
Pd4 0.500 0.268 0.000
Pd5 0.000 0.732 0.000
Pd6 0.750 0.850 0.701
Pb1 0.250 0.373 0.746
Pb2 0.750 0.627 0.254
Au1 0.250 0.926 0.852
Au2 0.750 0.074 0.148

Its total energy is -4.3686 eV/atom. Its space group is Cmcm, No. 63.

Here is a relaxed TaCu2Rh crystal from Alexandria. Energies are from PBE.

Cell lengths 6.984, 6.984, 5.538 Å; angles 50.91, 50.91, 90.00 degrees
Fractional coordinates of all 8 atoms:
Rh1 0.500 0.500 0.000
Rh2 0.250 0.750 0.500
Cu1 0.617 0.125 0.250
Cu2 0.133 0.625 0.250
Cu3 0.375 0.383 0.750
Cu4 0.875 0.867 0.750
Ta1 0.000 0.000 0.000
Ta2 0.750 0.250 0.500

Its total energy is -6.4318 eV/atom. Its space group is I-42d, No. 122.

Here is a relaxed CrP4Rh crystal from Alexandria. Energies are from PBE.

Cell lengths 4.964, 4.964, 4.964 Å; angles 60.00, 60.00, 60.00 degrees
Site moments in Bohr magnetons follow the coordinates.
Fractional coordinates of all 6 atoms:
Cr1 0.000 0.000 0.000  3.38
P1 0.872 0.376 0.376  -0.05
P2 0.376 0.376 0.872  -0.05
P3 0.376 0.872 0.376  -0.05
P4 0.376 0.376 0.376  -0.05
Rh1 0.750 0.750 0.750  -0.42

Its total energy is -5.8379 eV/atom. Its space group is F-43m, No. 216.

Here is a relaxed Sm5Cd2O2 crystal from Alexandria. Energies are from PBE.

Cell lengths 7.134, 7.044, 10.376 Å; angles 109.84, 110.11, 90.00 degrees
Fractional coordinates of all 18 atoms:
Sm1 0.768 0.778 0.037
Sm2 0.232 0.741 0.963
Sm3 0.768 0.278 0.037
Sm4 0.232 0.241 0.963
Sm5 0.783 0.873 0.728
Sm6 0.217 0.145 0.272
Sm7 0.445 0.373 0.728
Sm8 0.555 0.645 0.272
Sm9 0.000 0.010 0.500
Sm10 0.000 0.510 0.500
Cd1 0.883 0.382 0.744
Cd2 0.117 0.638 0.256
Cd3 0.360 0.882 0.744
Cd4 0.640 0.138 0.256
O1 0.000 0.009 0.000
O2 0.500 0.509 0.000
O3 0.786 0.759 0.500
O4 0.214 0.259 0.500

Its space group is Imma, No. 74. The value obtained for the raw formation energy is -1.350 eV per atom.

Here is a relaxed CeDyIn2 crystal from Alexandria. Energies are from PBE.

Cell lengths 3.631, 3.631, 10.368 Å; angles 79.92, 79.92, 60.00 degrees
Site moments in Bohr magnetons follow the coordinates.
Fractional coordinates of all 4 atoms:
In1 0.748 0.748 0.757  0.00
In2 0.252 0.252 0.243  0.00
Ce1 0.500 0.500 0.500  0.80
Dy1 0.000 0.000 0.000  -0.02

Its total energy is -4.2369 eV/atom. Its space group is R-3m, No. 166.

Number 1: volume 61.97 Å³/cell. Number 2: volume 408.69 Å³/cell. Number 3: volume 69.83 Å³/cell. Number 4: volume 117.99 Å³/cell. Number 5: volume 90.64 Å³/cell. Number 6: volume 60.24 Å³/cell. Number 7: volume 286.41 Å³/cell. Number 8: volume 293.67 Å³/cell. Number 9: volume 122.24 Å³/cell. Number 10: volume 86.51 Å³/cell. Number 11: volume 456.52 Å³/cell. Number 12: volume 115.93 Å³/cell.